[1]
Material: LiNiAs2Pb
Method: DFT, PBE
State: optimized geometry

Its space group is P4/mmm. The crystal system is tetragonal.

Unit cell a=4.682 b=4.682 c=4.669 alpha=90.00 beta=90.00 gamma=90.00
Fractional positions:
Li1 0.000 0.000 0.000
Ni1 0.000 0.000 0.500
As1 0.000 0.500 0.500
As2 0.500 0.000 0.500
Pb1 0.500 0.500 0.000

[2]
Material: Li2NiAs2Pd
Method: DFT, PBE
State: optimized geometry

Its space group is Ibam. The crystal system is orthorhombic.

Unit cell a=7.282 b=7.282 c=7.282 alpha=134.87 beta=65.79 gamma=134.79
Fractional positions:
Li1 0.161 0.239 0.400
Li2 0.339 0.739 0.077
Li3 0.661 0.261 0.923
Li4 0.839 0.761 0.600
Ni1 0.250 0.750 0.500
Ni2 0.750 0.250 0.500
As1 0.122 0.721 0.843
As2 0.378 0.221 0.599
As3 0.622 0.779 0.401
As4 0.878 0.279 0.157
Pd1 0.250 0.250 0.000
Pd2 0.750 0.750 0.000

[3]
Material: LiPm2Ni4As3
Method: DFT, PBE
State: optimized geometry

Its space group is P-4m2. The crystal system is tetragonal.

Unit cell a=4.102 b=4.102 c=9.629 alpha=90.00 beta=90.00 gamma=90.00
Fractional positions:
Li1 0.000 0.000 0.000
Pm1 0.000 0.500 0.744
Pm2 0.500 0.000 0.256
Ni1 0.000 0.000 0.500
Ni2 0.000 0.500 0.123
Ni3 0.500 0.000 0.877
Ni4 0.500 0.500 0.500
As1 0.000 0.500 0.366
As2 0.500 0.000 0.634
As3 0.500 0.500 0.000

[4]
Material: LiPmNiAs
Method: DFT, PBE
State: optimized geometry

Its space group is F-43m. The crystal system is cubic.

Unit cell a=6.718 b=6.718 c=6.718 alpha=90.00 beta=90.00 gamma=90.00
Fractional positions:
Li1 0.000 0.000 0.000
Li2 0.000 0.500 0.500
Li3 0.500 0.000 0.500
Li4 0.500 0.500 0.000
Pm1 0.000 0.000 0.500
Pm2 0.000 0.500 0.000
Pm3 0.500 0.000 0.000
Pm4 0.500 0.500 0.500
Ni1 0.250 0.250 0.750
Ni2 0.250 0.750 0.250
Ni3 0.750 0.250 0.250
Ni4 0.750 0.750 0.750
As1 0.250 0.250 0.250
As2 0.250 0.750 0.750
As3 0.750 0.250 0.750
As4 0.750 0.750 0.250

Computed calculated total energy, in the same sequence as the records: -4.143, -4.524, -5.630, -4.732 eV per atom.
Computed ΔE_f, in the same sequence as the records: -0.002, -0.507, -0.781, -0.458 eV/atom.